# YW4O12

A relaxed structure of YW4O12 (PBE+U, Alexandria).

Unit cell a=6.708 b=6.708 c=6.708 alpha=111.50 beta=108.62 gamma=108.31
Element x y z (fractional)
Y1 0.000 0.000 0.000
W1 0.000 0.000 0.500
W2 0.000 0.500 0.000
W3 0.500 0.000 0.000
W4 0.500 0.500 0.500
O1 0.006 0.711 0.295
O2 0.237 0.195 0.432
O3 0.237 0.805 0.042
O4 0.245 0.050 0.804
O5 0.245 0.441 0.196
O6 0.417 0.711 0.705
O7 0.583 0.289 0.295
O8 0.755 0.559 0.804
O9 0.755 0.950 0.196
O10 0.763 0.195 0.958
O11 0.763 0.805 0.568
O12 0.994 0.289 0.705

Values from the calculation:
* density: 7.27 g cm⁻³
* SG: Immm
* spin magnetization: 3.0 μB/f.u.
* density of states at the Fermi level: 0.15 states/eV/atom
* total energy: -0.2852 Ha/atom